(1)
# GGA-PBE SrHfTaO2, optimized geometry
data_SrHfTaO2
_chemical_formula_sum 'Sr1 Hf1 Ta1 O2'
_symmetry_space_group_name_H-M 'P 4/m m m'
_symmetry_Int_Tables_number 123
_symmetry_space_group_name_Hall '-P 4 2'
_cell_length_a 4.037
_cell_length_b 4.037
_cell_length_c 7.020
_cell_angle_alpha 90.00
_cell_angle_beta 90.00
_cell_angle_gamma 90.00
loop_
_atom_site_label
_atom_site_type_symbol
_atom_site_fract_x
_atom_site_fract_y
_atom_site_fract_z
Sr1 Sr 0.000 0.000 0.000
Hf1 Hf 0.500 0.500 0.000
Ta1 Ta 0.000 0.000 0.500
O1 O 0.000 0.500 0.500
# ΔE_f (raw) ... -86.1 kJ/mol of formula units


(2)
# GGA-PBE SrHf2TcO8, optimized geometry
data_SrHf2TcO8
_chemical_formula_sum 'Sr1 Hf2 Tc1 O8'
_symmetry_space_group_name_H-M 'P 1 2/m 1'
_symmetry_Int_Tables_number 10
_symmetry_space_group_name_Hall '-P 2y'
_cell_length_a 4.923
_cell_length_b 6.631
_cell_length_c 4.932
_cell_angle_alpha 90.00
_cell_angle_beta 91.88
_cell_angle_gamma 90.00
loop_
_atom_site_label
_atom_site_type_symbol
_atom_site_fract_x
_atom_site_fract_y
_atom_site_fract_z
Sr1 Sr 0.000 0.000 0.000
Hf1 Hf 0.500 0.248 0.500
Tc1 Tc 0.000 0.500 0.000
O1 O 0.202 0.301 0.200
O2 O 0.290 0.500 0.709
O3 O 0.327 0.000 0.670
# ΔE_f (raw) ... -3005.7 kJ/mol of formula units


(3)
# GGA-PBE SrHfTcO6, optimized geometry
data_SrHfTcO6
_chemical_formula_sum 'Sr2 Hf2 Tc2 O12'
_symmetry_space_group_name_H-M 'P -3 1 c'
_symmetry_Int_Tables_number 163
_symmetry_space_group_name_Hall '-P 3 2c'
_cell_length_a 5.3646
_cell_length_b 5.3646
_cell_length_c 10.7315
_cell_angle_alpha 90.00
_cell_angle_beta 90.00
_cell_angle_gamma 120.00
loop_
_atom_site_label
_atom_site_type_symbol
_atom_site_fract_x
_atom_site_fract_y
_atom_site_fract_z
Sr1 Sr 0.0000 0.0000 0.0000
Hf1 Hf 0.3333 0.6667 0.2500
Tc1 Tc 0.3333 0.6667 0.7500
O1 O 0.0192 0.3846 0.6480
# ΔE_f (raw) ... -2109.3 kJ/mol of formula units


(4)
# GGA-PBE Sr2HfTc3O12, optimized geometry
data_Sr2HfTc3O12
_chemical_formula_sum 'Sr6 Hf3 Tc9 O36'
_symmetry_space_group_name_H-M 'R -3 m'
_symmetry_Int_Tables_number 166
_symmetry_space_group_name_Hall '-R 3 2"'
_cell_length_a 7.3492
_cell_length_b 7.3492
_cell_length_c 18.3688
_cell_angle_alpha 90.00
_cell_angle_beta 90.00
_cell_angle_gamma 120.00
loop_
_atom_site_label
_atom_site_type_symbol
_atom_site_fract_x
_atom_site_fract_y
_atom_site_fract_z
Sr1 Sr 0.0000 0.0000 0.1969
Hf1 Hf 0.0000 0.0000 0.5000
Tc1 Tc 0.0000 0.5000 0.0000
O1 O 0.0552 0.5276 0.1055
O2 O 0.0892 0.5446 0.3501
# ΔE_f (raw) ... -3455.9 kJ/mol of formula units


(5)
# GGA-PBE SrHfTeO6, optimized geometry
data_SrHfTeO6
_chemical_formula_sum 'Sr2 Hf2 Te2 O12'
_symmetry_space_group_name_H-M 'P -3 1 c'
_symmetry_Int_Tables_number 163
_symmetry_space_group_name_Hall '-P 3 2c'
_cell_length_a 5.4279
_cell_length_b 5.4279
_cell_length_c 10.7058
_cell_angle_alpha 90.00
_cell_angle_beta 90.00
_cell_angle_gamma 120.00
loop_
_atom_site_label
_atom_site_type_symbol
_atom_site_fract_x
_atom_site_fract_y
_atom_site_fract_z
Sr1 Sr 0.0000 0.0000 0.0000
Hf1 Hf 0.3333 0.6667 0.2500
Te1 Te 0.3333 0.6667 0.7500
O1 O 0.0192 0.3876 0.6470
# ΔE_f (raw) ... -2074.7 kJ/mol of formula units


(6)
# GGA-PBE Sr4HfTi3O12, optimized geometry
data_Sr4HfTi3O12
_chemical_formula_sum 'Sr8 Hf2 Ti6 O24'
_symmetry_space_group_name_H-M 'C m m m'
_symmetry_Int_Tables_number 65
_symmetry_space_group_name_Hall '-C 2 2'
_cell_length_a 7.988
_cell_length_b 15.951
_cell_length_c 4.010
_cell_angle_alpha 90.00
_cell_angle_beta 90.00
_cell_angle_gamma 90.00
loop_
_atom_site_label
_atom_site_type_symbol
_atom_site_fract_x
_atom_site_fract_y
_atom_site_fract_z
Sr1 Sr 0.241 0.128 0.000
Hf1 Hf 0.000 0.500 0.500
Ti1 Ti 0.000 0.000 0.500
Ti2 Ti 0.000 0.250 0.500
O1 O 0.000 0.000 0.000
O2 O 0.000 0.125 0.500
O3 O 0.000 0.247 0.000
O4 O 0.000 0.370 0.500
O5 O 0.000 0.500 0.000
O6 O 0.242 0.000 0.500
O7 O 0.250 0.250 0.500
# ΔE_f (raw) ... -6138.5 kJ/mol of formula units


(7)
# GGA-PBE SrHf2TiO, optimized geometry
data_SrHf2TiO
_chemical_formula_sum 'Sr1 Hf2 Ti1 O1'
_symmetry_space_group_name_H-M 'P 4/m m m'
_symmetry_Int_Tables_number 123
_symmetry_space_group_name_Hall '-P 4 2'
_cell_length_a 5.567
_cell_length_b 5.567
_cell_length_c 4.199
_cell_angle_alpha 90.00
_cell_angle_beta 90.00
_cell_angle_gamma 90.00
loop_
_atom_site_label
_atom_site_type_symbol
_atom_site_fract_x
_atom_site_fract_y
_atom_site_fract_z
Sr1 Sr 0.000 0.000 0.000
Hf1 Hf 0.000 0.500 0.000
Ti1 Ti 0.500 0.500 0.500
O1 O 0.000 0.000 0.500
# ΔE_f (raw) ... 688.5 kJ/mol of formula units


(8)
# GGA-PBE Sr2HfTiO6, optimized geometry
data_Sr2HfTiO6
_chemical_formula_sum 'Sr8 Hf4 Ti4 O24'
_symmetry_space_group_name_H-M 'F m -3 m'
_symmetry_Int_Tables_number 225
_symmetry_space_group_name_Hall '-F 4 2 3'
_cell_length_a 8.080
_cell_length_b 8.080
_cell_length_c 8.080
_cell_angle_alpha 90.00
_cell_angle_beta 90.00
_cell_angle_gamma 90.00
loop_
_atom_site_label
_atom_site_type_symbol
_atom_site_fract_x
_atom_site_fract_y
_atom_site_fract_z
Sr1 Sr 0.250 0.250 0.250
Hf1 Hf 0.000 0.000 0.000
Ti1 Ti 0.000 0.000 0.500
O1 O 0.000 0.000 0.256
# ΔE_f (raw) ... -3130.1 kJ/mol of formula units


(9)
# GGA-PBE SrHf2TlO, optimized geometry
data_SrHf2TlO
_chemical_formula_sum 'Sr1 Hf2 Tl1 O1'
_symmetry_space_group_name_H-M 'P 4/m m m'
_symmetry_Int_Tables_number 123
_symmetry_space_group_name_Hall '-P 4 2'
_cell_length_a 5.647
_cell_length_b 5.647
_cell_length_c 4.291
_cell_angle_alpha 90.00
_cell_angle_beta 90.00
_cell_angle_gamma 90.00
loop_
_atom_site_label
_atom_site_type_symbol
_atom_site_fract_x
_atom_site_fract_y
_atom_site_fract_z
Sr1 Sr 0.000 0.000 0.000
Hf1 Hf 0.000 0.500 0.000
Tl1 Tl 0.500 0.500 0.500
O1 O 0.000 0.000 0.500
# ΔE_f (raw) ... 561.7 kJ/mol of formula units


(10)
# GGA-PBE SrHfTl2O6, optimized geometry
data_SrHfTl2O6
_chemical_formula_sum 'Sr3 Hf3 Tl6 O18'
_symmetry_space_group_name_H-M 'R 3'
_symmetry_Int_Tables_number 146
_symmetry_space_group_name_Hall 'R 3'
_cell_length_a 5.8354
_cell_length_b 5.8354
_cell_length_c 15.4328
_cell_angle_alpha 90.00
_cell_angle_beta 90.00
_cell_angle_gamma 120.00
loop_
_atom_site_label
_atom_site_type_symbol
_atom_site_fract_x
_atom_site_fract_y
_atom_site_fract_z
Sr1 Sr 0.0000 0.0000 0.0000
Hf1 Hf 0.0000 0.0000 0.4889
Tl1 Tl 0.0000 0.0000 0.2744
Tl2 Tl 0.0000 0.0000 0.7779
O1 O 0.0039 0.3592 0.2166
O2 O 0.0247 0.7437 0.3943
# ΔE_f (raw) ... -1873.1 kJ/mol of formula units


(11)
# GGA-PBE SrHfUO6, optimized geometry
data_SrHfUO6
_chemical_formula_sum 'Sr2 Hf2 U2 O12'
_symmetry_space_group_name_H-M 'P -3 1 c'
_symmetry_Int_Tables_number 163
_symmetry_space_group_name_Hall '-P 3 2c'
_cell_length_a 5.6657
_cell_length_b 5.6657
_cell_length_c 10.4414
_cell_angle_alpha 90.00
_cell_angle_beta 90.00
_cell_angle_gamma 120.00
loop_
_atom_site_label
_atom_site_type_symbol
_atom_site_fract_x
_atom_site_fract_y
_atom_site_fract_z
Sr1 Sr 0.0000 0.0000 0.0000
Hf1 Hf 0.3333 0.6667 0.2500
U1 U 0.3333 0.6667 0.7500
O1 O 0.0002 0.3721 0.1455
# ΔE_f (raw) ... -2856.8 kJ/mol of formula units


(12)
# GGA-PBE Sr2HfUO6, optimized geometry
data_Sr2HfUO6
_chemical_formula_sum 'Sr4 Hf2 U2 O12'
_symmetry_space_group_name_H-M 'P m m n'
_symmetry_Int_Tables_number 59
_cell_length_a 5.991
_cell_length_b 8.535
_cell_length_c 6.153
_cell_angle_alpha 90.00
_cell_angle_beta 90.00
_cell_angle_gamma 90.00
loop_
_symmetry_equiv_pos_as_xyz
'x,y,z'
'-x,-y,-z'
'-x+1/2,-y+1/2,z'
'x+1/2,y+1/2,-z'
'x+1/2,-y,-z'
'-x+1/2,y,z'
'-x,y+1/2,-z'
'x,-y+1/2,z'
loop_
_atom_site_label
_atom_site_type_symbol
_atom_site_fract_x
_atom_site_fract_y
_atom_site_fract_z
Sr1 Sr 0.250 0.017 0.208
Hf1 Hf 0.250 0.750 0.758
U1 U 0.250 0.250 0.731
O1 O 0.004 0.250 0.465
O2 O 0.005 0.750 0.007
O3 O 0.250 0.507 0.785
# ΔE_f (raw) ... -3026.3 kJ/mol of formula units


- Which of these has the lowest ΔE_f (raw)?
  Sr4HfTi3O12


- What is the ΔE_f (raw) in the sixth record?
  -6138.5 kJ/mol of formula units


Repeat the fourth record exactly.
# GGA-PBE Sr2HfTc3O12, optimized geometry
data_Sr2HfTc3O12
_chemical_formula_sum 'Sr6 Hf3 Tc9 O36'
_symmetry_space_group_name_H-M 'R -3 m'
_symmetry_Int_Tables_number 166
_symmetry_space_group_name_Hall '-R 3 2"'
_cell_length_a 7.3492
_cell_length_b 7.3492
_cell_length_c 18.3688
_cell_angle_alpha 90.00
_cell_angle_beta 90.00
_cell_angle_gamma 120.00
loop_
_atom_site_label
_atom_site_type_symbol
_atom_site_fract_x
_atom_site_fract_y
_atom_site_fract_z
Sr1 Sr 0.0000 0.0000 0.1969
Hf1 Hf 0.0000 0.0000 0.5000
Tc1 Tc 0.0000 0.5000 0.0000
O1 O 0.0552 0.5276 0.1055
O2 O 0.0892 0.5446 0.3501
# ΔE_f (raw) ... -3455.9 kJ/mol of formula units